Computed, not measured: a geometry-optimized KHfMn2 structure at the PBE-GGA level of DFT.

Computed properties:
Its space group is No. 225. The calculated formation energy comes out at 1091 meV per atom. The calculation puts the density at 6.4 g/cm³. For the total energy, the calculation gives -6.26 eV per atom. Its excess energy over the best structure of this formula in the dataset is 0 meV per atom.

Lattice parameters (Å, degrees): 4.9243 4.9243 4.9243 60.00 60.00 60.00
With the nearest neighbours (Å) after each atom.
Atoms (fractional coordinates):
K: 0.0000 0.0000 0.0000  8 Mn 3.02
Mn: 0.2500 0.2500 0.2500  4 Hf 3.02, 4 K 3.02
Mn: 0.7500 0.7500 0.7500  4 Hf 3.02, 4 K 3.02
Hf: 0.5000 0.5000 0.5000  8 Mn 3.02